#P
Computed, not measured: a relaxed structure of YNiTeN2 at the GGA-PBE level of DFT.

```
5
Lattice="-4.033 -0.584 1.521 -0.656 -3.133 -2.945 2.153 -4.275 4.068" Properties=species:S:1:pos:R:3 pbc="T T T"
Y 0.000 0.000 0.000
Ni -1.268 -3.996 1.322
Te 1.077 -2.138 2.034
N -0.328 -1.567 -1.472
N -2.016 -0.292 0.760
```

***

#Q
Computed, not measured: a relaxed structure of YNiTeN2 at the GGA-PBE level of DFT.

```
5
Lattice="4.082 0.000 0.000 0.000 4.082 0.000 0.000 0.000 4.912" Properties=species:S:1:pos:R:3 pbc="T T T"
Y 2.041 2.041 2.456
Ni 0.000 0.000 0.000
Te 0.000 0.000 2.456
N 0.000 2.041 0.000
N 2.041 0.000 0.000
```

***

Which of them is least stable? Easy: #P.

***

#P
Computed, not measured: a relaxed structure of ZrNiTe2N at the GGA-PBE level of DFT.

```
5
Lattice="5.289 0.000 0.000 0.000 5.289 0.000 0.000 0.000 3.514" Properties=species:S:1:pos:R:3 pbc="T T T"
Ni 0.000 0.000 0.000
Te 0.000 2.644 0.000
Te 2.644 0.000 0.000
Zr 2.644 2.644 1.757
N 0.000 0.000 1.757
```

***

#Q
Computed, not measured: a relaxed structure of ZrNiTe2N at the GGA-PBE level of DFT.

```
5
Lattice="5.732 0.000 0.000 0.000 5.732 0.000 0.000 0.000 3.952" Properties=species:S:1:pos:R:3 pbc="T T T"
Ni 2.866 2.866 1.976
Te 0.000 2.866 0.000
Te 2.866 0.000 0.000
Zr 0.000 0.000 0.000
N 0.000 0.000 1.976
```

***

Which of them is least stable? Easy: #Q.